An optimized crystal structure of Sb2Au. Source: the Alexandria database, functional GGA-PBE.

Summary:
DOS at the Fermi energy	4.23	states/eV/cell
formation energy (no corrections)	0.10	eV per atom
SG	P-62m, No. 189

Geometry as POSCAR:
```
Sb2Au
1.0
-4.6583 -3.2718 -5.5220
3.3230 -4.5455 5.5851
-3.3037 0.5840 2.4409
Au Sb
3 6
Direct
0.6667 0.3333 0.0000 Au
0.0000 0.0000 0.5000 Au
0.3333 0.6667 0.0000 Au
0.0000 0.5493 0.5000 Sb
0.2709 0.0000 0.0000 Sb
0.5493 0.0000 0.5000 Sb
0.7291 0.7291 0.0000 Sb
0.4507 0.4507 0.5000 Sb
0.0000 0.2709 0.0000 Sb
```

---

An optimized crystal structure of SrMn2Br. Source: the Alexandria database, functional GGA-PBE.

Summary:
energy above the lowest structure with this stoichiometry	418	meV/atom
DOS at the Fermi energy	3.11	states/eV/cell
formation energy (no corrections)	0.42	eV per atom
SG	Pmmm, No. 47

Geometry as POSCAR:
```
SrMn2Br
1.0
3.9771 0.0000 0.0000
0.0000 4.9962 0.0000
0.0000 0.0000 5.8578
Br Sr Mn
1 1 2
Direct
0.5000 0.5000 0.7500 Br
0.5000 0.5000 0.2500 Sr
0.0000 0.0000 0.4785 Mn
0.0000 0.0000 0.0215 Mn
```

---

An optimized crystal structure of Dy4MgHg3. Source: the Alexandria database, functional GGA-PBE.

Summary:
DOS at the Fermi energy	7.89	states/eV/cell
SG	C2/m, No. 12
formation energy	-0.375	eV/atom

Geometry as POSCAR:
```
Dy4MgHg3
1.0
5.0616 0.0000 -1.3663
-0.3640 5.0533 -1.3484
-0.4502 -0.5207 8.3909
Dy Hg Mg
4 3 1
Direct
0.3730 0.3729 0.7459 Dy
0.6270 0.6271 0.2541 Dy
0.8730 0.8730 0.7459 Dy
0.1270 0.1270 0.2541 Dy
0.0000 0.5000 0.0000 Hg
0.2528 0.7527 0.5056 Hg
0.7472 0.2473 0.4944 Hg
0.5000 0.0000 0.0000 Mg
```

---

Question: Which value of DOS at the Fermi energy does entry 2 give?
Answer: 3.11 states/eV/cell